The following is a GGA-PBE calculation of a relaxed Sr2LiCdN crystal, from Alexandria via LeMat-Bulk.

Crystal system: tetragonal
ΔE_f (raw) (eV per atom): -0.31
Volume (Å³/f.u.): 123.5

Lattice parameters (Å, degrees): 5.361 5.361 4.295 90.00 90.00 90.00
Sites, in units of the cell vectors:
Cd1 0.500 0.500 0.500
Li1 0.000 0.000 0.500
N1 0.000 0.000 0.000
Sr1 0.500 0.000 0.000
Sr2 0.000 0.500 0.000